VASP calculation (PBEsol) on CrBiTe2I after structural relaxation.

Cell: 5.2579 5.2579 5.2011 Å, 90.00 90.00 90.00°
Sites, in units of the cell vectors:
Cr (0.0000, 0.0000, 0.0000)
Bi (0.5000, 0.5000, 0.5000)
Te (0.0000, 0.5000, 0.0000)
Te (0.5000, 0.0000, 0.0000)
I (0.0000, 0.0000, 0.5000)

Results
- total magnetization (μB/atom) = 0.697
- formation energy from raw total energies (meV per atom) = 247